# PBE Li2Pm2TaN4, relaxed
# raw formation energy	-0.91	eV/atom
# uncorrected energy	-66.7	eV per formula unit
data_Li2Pm2TaN4
_chemical_formula_sum 'Li4 Pm4 Ta2 N8'
_cell_length_a 12.068
_cell_length_b 3.247
_cell_length_c 5.832
_cell_angle_alpha 90.00
_cell_angle_beta 110.46
_cell_angle_gamma 90.00
_symmetry_space_group_name_H-M 'C 1 2/m 1'
_symmetry_Int_Tables_number 12
loop_
_symmetry_equiv_pos_as_xyz
'x,y,z'
'-x,-y,-z'
'-x,y,-z'
'x,-y,z'
'x+1/2,y+1/2,z'
'-x+1/2,-y+1/2,-z'
'-x+1/2,y+1/2,-z'
'x+1/2,-y+1/2,z'
loop_
_atom_site_label
_atom_site_fract_x
_atom_site_fract_y
_atom_site_fract_z
Li1 0.180 0.000 0.006
Pm1 0.137 0.500 0.564
Ta1 0.000 0.500 0.000
N1 0.021 0.000 0.768
N2 0.196 0.500 0.206


# PBE EuTmCdBi, relaxed
# energy of formation	-164	kJ/mol of formula units
# uncorrected energy	-21.2	eV per formula unit
data_EuTmCdBi
_chemical_formula_sum 'Eu4 Tm4 Cd4 Bi4'
_cell_length_a 7.758
_cell_length_b 7.758
_cell_length_c 7.758
_cell_angle_alpha 90.00
_cell_angle_beta 90.00
_cell_angle_gamma 90.00
_symmetry_space_group_name_H-M 'F -4 3 m'
_symmetry_Int_Tables_number 216
_symmetry_space_group_name_Hall 'F -4 2 3'
loop_
_atom_site_label
_atom_site_fract_x
_atom_site_fract_y
_atom_site_fract_z
Eu1 0.000 0.000 0.000
Tm1 0.000 0.000 0.500
Cd1 0.250 0.250 0.250
Bi1 0.250 0.250 0.750


# PBE TaHgTeO2, relaxed
# raw formation energy	-1.17	eV/atom
# uncorrected energy	-31.1	eV per formula unit
data_TaHgTeO2
_chemical_formula_sum 'Ta1 Hg1 Te1 O2'
_cell_length_a 3.963
_cell_length_b 3.963
_cell_length_c 6.301
_cell_angle_alpha 90.00
_cell_angle_beta 90.00
_cell_angle_gamma 90.00
_symmetry_space_group_name_H-M 'P 4/m m m'
_symmetry_Int_Tables_number 123
_symmetry_space_group_name_Hall '-P 4 2'
loop_
_atom_site_label
_atom_site_fract_x
_atom_site_fract_y
_atom_site_fract_z
Ta1 0.000 0.000 0.000
Hg1 0.000 0.000 0.500
Te1 0.500 0.500 0.500
O1 0.000 0.500 0.000


# PBE TbDy2Er2Tm, relaxed
# energy of formation	163	kJ/mol of formula units
# uncorrected energy	-25.7	eV per formula unit
data_TbDy2Er2Tm
_chemical_formula_sum 'Tb2 Dy4 Er4 Tm2'
_cell_length_a 6.541
_cell_length_b 17.410
_cell_length_c 3.336
_cell_angle_alpha 90.00
_cell_angle_beta 90.00
_cell_angle_gamma 90.00
_symmetry_space_group_name_H-M 'P n n m'
_symmetry_Int_Tables_number 58
loop_
_symmetry_equiv_pos_as_xyz
'x,y,z'
'-x,-y,-z'
'-x,-y,z'
'x,y,-z'
'x+1/2,-y+1/2,-z+1/2'
'-x+1/2,y+1/2,z+1/2'
'-x+1/2,y+1/2,-z+1/2'
'x+1/2,-y+1/2,z+1/2'
loop_
_atom_site_label
_atom_site_fract_x
_atom_site_fract_y
_atom_site_fract_z
Tb1 0.000 0.000 0.000
Dy1 0.235 0.149 0.500
Er1 0.237 0.320 0.000
Tm1 0.000 0.500 0.000


# PBE Cd3TeOs, relaxed
# raw formation energy	0.85	eV/atom
# energy relative to the lowest polymorph listed for this composition	0.000	eV per atom
# uncorrected energy	-12.9	eV per formula unit
data_Cd3TeOs
_chemical_formula_sum 'Cd3 Te1 Os1'
_cell_length_a 5.244
_cell_length_b 5.244
_cell_length_c 5.244
_cell_angle_alpha 90.00
_cell_angle_beta 90.00
_cell_angle_gamma 90.00
_symmetry_space_group_name_H-M 'P m -3 m'
_symmetry_Int_Tables_number 221
_symmetry_space_group_name_Hall '-P 4 2 3'
loop_
_atom_site_label
_atom_site_fract_x
_atom_site_fract_y
_atom_site_fract_z
Cd1 0.000 0.000 0.500
Te1 0.500 0.500 0.500
Os1 0.000 0.000 0.000


# PBE PIr2Pb, relaxed
# energy of formation	34	kJ/mol of formula units
# energy relative to the lowest polymorph listed for this composition	0.144	eV per atom
# uncorrected energy	-26.5	eV per formula unit
data_PIr2Pb
_chemical_formula_sum 'P2 Ir4 Pb2'
_cell_length_a 3.257
_cell_length_b 3.326
_cell_length_c 13.367
_cell_angle_alpha 90.00
_cell_angle_beta 90.00
_cell_angle_gamma 90.00
_symmetry_space_group_name_H-M 'I m m 2'
_symmetry_Int_Tables_number 44
loop_
_symmetry_equiv_pos_as_xyz
'x,y,z'
'-x,-y,z'
'-x,y,z'
'x,-y,z'
'x+1/2,y+1/2,z+1/2'
'-x+1/2,-y+1/2,z+1/2'
'-x+1/2,y+1/2,z+1/2'
'x+1/2,-y+1/2,z+1/2'
loop_
_atom_site_label
_atom_site_fract_x
_atom_site_fract_y
_atom_site_fract_z
P1 0.000 0.000 0.000
Ir1 0.000 0.000 0.444
Ir2 0.000 0.500 0.121
Pb1 0.000 0.500 0.758